Below is a relaxed structure of TcTe2Rh, with properties calculated at the PBEsol level.

POSCAR file:
```
TcTe2Rh
1.0
-3.455 1.708 -0.585
0.018 -1.230 -3.699
-0.474 -4.224 3.457
Rh Tc Te
1 1 2
Cartesian
-1.719 0.239 -2.142 Rh
-1.087 -2.608 -1.192 Tc
0.000 0.000 0.000 Te
-2.824 -1.139 0.365 Te
```

Output
**Energy relative to the elements, uncorrected**: 0.42 eV/atom
**ΔE to the lowest computed polymorph**: 0.259 eV/atom
**Space group**: I-4m2 (119)
**Calculated volume**: 17.99 Å³/atom

***

Below is a relaxed structure of TcTe3Rh, with properties calculated at the PBEsol level.

POSCAR file:
```
TcTe3Rh
1.0
5.097 0.000 0.000
0.000 5.097 0.000
0.000 0.000 5.097
Te Rh Tc
3 1 1
Cartesian
0.000 2.549 0.000 Te
0.000 0.000 2.549 Te
2.549 0.000 0.000 Te
0.000 0.000 0.000 Rh
2.549 2.549 2.549 Tc
```

Output
**Energy relative to the elements, uncorrected**: 1.07 eV/atom
**Space group**: Pm-3m (221)
**Calculated volume**: 26.49 Å³/atom

***

Below is a relaxed structure of TcTe2Rh, with properties calculated at the PBEsol level.

POSCAR file:
```
TcTe2Rh
1.0
-0.089 -1.430 4.431
-2.085 -2.535 -3.308
1.812 -4.093 -1.285
Rh Tc Te
1 1 2
Cartesian
0.000 0.000 0.000 Rh
0.861 -2.762 1.573 Tc
-0.612 -2.648 -0.867 Te
0.249 -5.410 0.706 Te
```

Output
**Energy relative to the elements, uncorrected**: 0.24 eV/atom
**ΔE to the lowest computed polymorph**: 0.083 eV/atom
**Space group**: Fm-3m (225)
**Calculated volume**: 17.87 Å³/atom

***

Below is a relaxed structure of Ti2TcRh, with properties calculated at the PBEsol level.

POSCAR file:
```
Ti2TcRh
1.0
4.322 0.000 0.000
2.161 3.743 0.000
2.161 1.248 3.529
Rh Tc Ti
1 1 2
Cartesian
4.322 2.496 1.765 Rh
0.000 0.000 0.000 Tc
2.161 1.248 0.882 Ti
6.484 3.743 2.647 Ti
```

Output
**Energy**: -38.951 eV for the cell shown
**Space group**: Fm-3m (225)
**Calculated volume**: 14.28 Å³/atom

***

Below is a relaxed structure of TlTcRh, with properties calculated at the PBEsol level.

POSCAR file:
```
TlTcRh
1.0
-0.352 0.024 2.747
-1.602 -4.212 -0.168
4.417 0.712 0.560
Rh Tc Tl
1 1 1
Cartesian
-0.056 0.004 0.435 Rh
2.177 -0.913 2.143 Tc
0.342 -2.566 0.562 Tl
```

Output
**Energy**: -20.232 eV for the cell shown
**Space group**: P3m1 (156)
**Calculated volume**: 16.26 Å³/atom

***

Below is a relaxed structure of Tc2RhW, with properties calculated at the PBEsol level.

POSCAR file:
```
Tc2RhW
1.0
-3.374 0.793 -1.656
-0.287 -3.650 -1.162
0.005 0.526 4.695
Rh Tc W
1 2 1
Cartesian
0.000 0.000 0.000 Rh
-1.056 -2.276 1.062 Tc
-2.600 -0.055 0.815 Tc
-1.831 -1.428 -1.409 W
```

Output
**ΔE to the lowest computed polymorph**: 0.068 eV/atom
**Space group**: I4/mmm (139)
**Calculated volume**: 14.26 Å³/atom